No. 1
CaLa3Cu2: relaxed, PBE.

Cell: 5.078 9.139 7.347 Å, 90.00 90.00 90.00°
Fractional coordinates of all 12 atoms:
Ca: 0.000 0.075 0.000
Ca: 0.000 0.925 0.500
La: 0.000 0.341 0.634
La: 0.000 0.659 0.134
La: 0.500 0.167 0.342
La: 0.500 0.416 0.981
La: 0.500 0.584 0.481
La: 0.500 0.833 0.842
Cu: 0.000 0.347 0.234
Cu: 0.000 0.653 0.734
Cu: 0.500 0.150 0.742
Cu: 0.500 0.850 0.242

Properties
crystal system: orthorhombic
V: 28.4 Å³/atom
calculated total energy: -4.247 eV/atom
M_tot: 0.00 μB per formula unit



No. 2
Li3La2MgCu12: relaxed, PBE.

Cell: 9.845 9.845 9.845 Å, 37.53 37.53 37.53°
Fractional coordinates of all 18 atoms:
Li: 0.000 0.500 0.500
Li: 0.500 0.000 0.500
Li: 0.500 0.500 0.000
La: 0.138 0.138 0.138
La: 0.862 0.862 0.862
Mg: 0.500 0.500 0.500
Cu: 0.035 0.628 0.628
Cu: 0.086 0.086 0.705
Cu: 0.086 0.705 0.086
Cu: 0.295 0.914 0.914
Cu: 0.372 0.372 0.965
Cu: 0.372 0.965 0.372
Cu: 0.628 0.035 0.628
Cu: 0.628 0.628 0.035
Cu: 0.705 0.086 0.086
Cu: 0.914 0.295 0.914
Cu: 0.914 0.914 0.295
Cu: 0.965 0.372 0.372

Properties
crystal system: trigonal
V: 17.6 Å³/atom
calculated total energy: -3.566 eV/atom
M_tot: 0.00 μB per formula unit



No. 3
SrAgRh: relaxed, PBE.

Cell: 4.670 4.864 13.569 Å, 90.00 90.00 90.00°
Fractional coordinates of all 12 atoms:
Sr: 0.000 0.250 0.121
Sr: 0.000 0.750 0.879
Sr: 0.500 0.250 0.379
Sr: 0.500 0.750 0.621
Ag: 0.000 0.250 0.686
Ag: 0.000 0.750 0.314
Ag: 0.500 0.250 0.814
Ag: 0.500 0.750 0.186
Rh: 0.000 0.000 0.500
Rh: 0.000 0.500 0.500
Rh: 0.500 0.000 0.000
Rh: 0.500 0.500 0.000

Properties
crystal system: orthorhombic
V: 25.7 Å³/atom
M_tot: 0.00 μB per formula unit
energy above the most stable polymorph in this dataset: 0.104 eV/atom



No. 4
Ba5AgPd: relaxed, PBE.

Cell: 9.358 4.804 14.804 Å, 90.00 92.64 90.00°
Fractional coordinates of all 14 atoms:
Ba: 0.060 0.250 0.162
Ba: 0.143 0.750 0.572
Ba: 0.328 0.750 0.020
Ba: 0.347 0.250 0.779
Ba: 0.360 0.250 0.369
Ba: 0.640 0.750 0.631
Ba: 0.653 0.750 0.221
Ba: 0.672 0.250 0.980
Ba: 0.857 0.250 0.428
Ba: 0.940 0.750 0.838
Ag: 0.069 0.750 0.335
Ag: 0.931 0.250 0.665
Pd: 0.444 0.250 0.149
Pd: 0.556 0.750 0.851

Properties
crystal system: monoclinic
V: 47.5 Å³/atom
calculated total energy: -2.747 eV/atom
M_tot: 0.00 μB per formula unit



Repeat the fourth record exactly.
Ba5AgPd: relaxed, PBE.

Cell: 9.358 4.804 14.804 Å, 90.00 92.64 90.00°
Fractional coordinates of all 14 atoms:
Ba: 0.060 0.250 0.162
Ba: 0.143 0.750 0.572
Ba: 0.328 0.750 0.020
Ba: 0.347 0.250 0.779
Ba: 0.360 0.250 0.369
Ba: 0.640 0.750 0.631
Ba: 0.653 0.750 0.221
Ba: 0.672 0.250 0.980
Ba: 0.857 0.250 0.428
Ba: 0.940 0.750 0.838
Ag: 0.069 0.750 0.335
Ag: 0.931 0.250 0.665
Pd: 0.444 0.250 0.149
Pd: 0.556 0.750 0.851

Properties
crystal system: monoclinic
V: 47.5 Å³/atom
calculated total energy: -2.747 eV/atom
M_tot: 0.00 μB per formula unit



Look up the V of the second one.
17.6 Å³/atom



Number 3 is which compound?
SrAgRh



Which of these has the lowest V?
Li3La2MgCu12